A relaxed structure of In3Hg2Se2, computed with PBE-GGA.

a b c (Å): 15.675 4.068 6.900
angles (deg): 90.00 109.80 90.00
Positions (direct):
In1 0.000 0.000 0.000
In2 0.225 0.500 0.732
In3 0.275 0.000 0.268
In4 0.500 0.500 0.000
In5 0.725 0.000 0.732
In6 0.775 0.500 0.268
Hg1 0.091 0.000 0.455
Hg2 0.409 0.500 0.545
Hg3 0.591 0.500 0.455
Hg4 0.909 0.000 0.545
Se1 0.151 0.500 0.056
Se2 0.349 0.000 0.944
Se3 0.651 0.000 0.056
Se4 0.849 0.500 0.944

Results
SG = No. 12
Fermi-level density of states = 0.10 states/eV per atom
E_form (uncorrected) = -0.231 eV/atom
VASP energy = -2.486 eV per atom

***

A relaxed structure of ReAg2Cl, computed with PBE-GGA.

a b c (Å): 2.846 2.891 8.634
angles (deg): 90.00 90.40 90.00
Positions (direct):
Re1 0.000 0.000 0.000
Ag1 0.494 0.500 0.762
Ag2 0.506 0.500 0.238
Cl1 0.500 0.000 0.500

Results
SG = No. 10
Fermi-level density of states = 0.60 states/eV per atom
E_form (uncorrected) = 0.537 eV/atom
VASP energy = -4.462 eV per atom
relative energy among the computed polymorphs = 57 kJ/mol of formula units

***

A relaxed structure of FeCoPb2, computed with PBE-GGA.

a b c (Å): 6.691 6.691 6.691
angles (deg): 90.00 90.00 90.00
Positions (direct):
Fe1 0.000 0.000 0.000
Fe2 0.000 0.500 0.500
Fe3 0.500 0.000 0.500
Fe4 0.500 0.500 0.000
Co1 0.000 0.000 0.500
Co2 0.000 0.500 0.000
Co3 0.500 0.000 0.000
Co4 0.500 0.500 0.500
Pb1 0.250 0.250 0.250
Pb2 0.250 0.250 0.750
Pb3 0.250 0.750 0.250
Pb4 0.250 0.750 0.750
Pb5 0.750 0.250 0.250
Pb6 0.750 0.250 0.750
Pb7 0.750 0.750 0.250
Pb8 0.750 0.750 0.750

Results
SG = No. 225
Fermi-level density of states = 1.83 states/eV per atom
VASP energy = -5.086 eV per atom
energy of formation = 660 meV per atom